No. 1
The following is a DFT calculation (PBE) of a geometry-optimized Th3Ni8Pt structure.

The structure belongs to space group R3m (No. 160, hexagonal axes); the cell edges are 5.0716, 5.0716 and 25.2769 Å and the angles 90.00°, 90.00° and 120.00°. Symmetry generates all atoms from Th at (0.0000, 0.0000, 0.0000), Th at (0.0000, 0.0000, 0.1302), Th at (0.0000, 0.0000, 0.6061), Ni at (0.0000, 0.0000, 0.3080), Ni at (0.0000, 0.0000, 0.8078), Ni at (0.0002, 0.5001, 0.0581), Ni at (0.0068, 0.5034, 0.5586) and Pt at (0.0000, 0.0000, 0.4876).

The density of states at the Fermi level comes out at 6.5 states/eV/f.u. The calculation puts the formation enthalpy at 0 K at -0.489 eV/atom.


No. 2
The following is a DFT calculation (PBE) of a geometry-optimized ThNi4Pt8 structure.

The structure belongs to space group I4/mmm (No. 139); the cell edges are 8.853, 8.853 and 5.136 Å and the angles 90.00°, 90.00° and 90.00°. Symmetry generates all atoms from Th at (0.000, 0.000, 0.000), Ni at (0.250, 0.250, 0.250), Pt at (0.000, 0.222, 0.500) and Pt at (0.000, 0.341, 0.000).

The density of states at the Fermi level comes out at 19.1 states/eV/f.u. The calculation puts the formation enthalpy at 0 K at -0.393 eV/atom.


No. 3
The following is a DFT calculation (PBE) of a geometry-optimized ThNi4Pt structure.

The structure belongs to space group Cmcm (No. 63); the cell edges are 3.855, 15.438 and 6.131 Å and the angles 90.00°, 90.00° and 90.00°. Symmetry generates all atoms from Th at (0.000, 0.110, 0.250), Ni at (0.000, 0.070, 0.750), Ni at (0.000, 0.344, 0.063), Ni at (0.000, 0.500, 0.000) and Pt at (0.000, 0.238, 0.750).

The calculation puts the energy above the most stable polymorph in this dataset at 0.141 eV per atom. The density of states at the Fermi level comes out at 4.9 states/eV/f.u. The calculation puts the formation enthalpy at 0 K at -0.322 eV/atom.


No. 4
The following is a DFT calculation (PBE) of a geometry-optimized Th2Ni15Pt2 structure.

The structure belongs to space group R-3m (No. 166, hexagonal axes); the cell edges are 8.4537, 8.4537 and 12.3433 Å and the angles 90.00°, 90.00° and 120.00°. Symmetry generates all atoms from Th at (0.0000, 0.0000, 0.1573), Ni at (0.0000, 0.2954, 0.5000), Ni at (0.0000, 0.5000, 0.0000), Ni at (0.0051, 0.5026, 0.6543) and Pt at (0.0000, 0.0000, 0.3922).

The density of states at the Fermi level comes out at 24.8 states/eV/f.u. The calculation puts the formation enthalpy at 0 K at -0.301 eV/atom.


No. 5
The following is a DFT calculation (PBE) of a geometry-optimized ThNiPt structure.

The structure belongs to space group F-43m (No. 216); the cell edges are 6.316, 6.316 and 6.316 Å and the angles 90.00°, 90.00° and 90.00°. Symmetry generates all atoms from Th at (0.000, 0.000, 0.000), Ni at (0.250, 0.250, 0.250) and Pt at (0.000, 0.000, 0.500).

The density of states at the Fermi level comes out at 1.2 states/eV/f.u. The calculation puts the formation enthalpy at 0 K at -0.714 eV/atom.


No. 6
The following is a DFT calculation (PBE) of a geometry-optimized Th6NiPt5 structure.

The structure belongs to space group C2/m (No. 12); the cell edges are 6.914, 12.735 and 7.489 Å and the angles 90.00°, 110.65° and 90.00°. Symmetry generates all atoms from Th at (0.244, 0.000, 0.252), Th at (0.244, 0.163, 0.745), Ni at (0.000, 0.000, 0.500), Pt at (0.000, 0.169, 0.000), Pt at (0.000, 0.334, 0.500) and Pt at (0.000, 0.500, 0.000).

The density of states at the Fermi level comes out at 6.9 states/eV/f.u. The calculation puts the formation enthalpy at 0 K at -1.036 eV/atom.


No. 7
The following is a DFT calculation (PBE) of a geometry-optimized Th6Ni2Pt structure.

The structure belongs to space group Immm (No. 71); the cell edges are 8.778, 9.615 and 10.960 Å and the angles 90.00°, 90.00° and 90.00°. Symmetry generates all atoms from Th at (0.000, 0.188, 0.225), Th at (0.199, 0.309, 0.500), Th at (0.208, 0.500, 0.165), Ni at (0.000, 0.360, 0.000), Ni at (0.000, 0.500, 0.374), Pt at (0.000, 0.000, 0.000) and Pt at (0.000, 0.000, 0.500).

The density of states at the Fermi level comes out at 11.0 states/eV/f.u. The calculation puts the formation enthalpy at 0 K at -0.345 eV/atom.


No. 8
The following is a DFT calculation (PBE) of a geometry-optimized Th3NiPt structure.

The structure belongs to space group P2_1/m (No. 11); the cell edges are 8.365, 3.814 and 8.368 Å and the angles 90.00°, 109.17° and 90.00°. Symmetry generates all atoms from Th at (0.035, 0.250, 0.179), Th at (0.227, 0.750, 0.553), Th at (0.398, 0.750, 0.157), Ni at (0.406, 0.250, 0.416) and Pt at (0.251, 0.250, 0.860).

The calculation puts the energy above the most stable polymorph in this dataset at 0.000 eV per atom. The density of states at the Fermi level comes out at 5.6 states/eV/f.u. The calculation puts the formation enthalpy at 0 K at -0.617 eV/atom.


Which of these has the highest formation enthalpy at 0 K? Th2Ni15Pt2


Please write out number 8 again, unchanged.
The following is a DFT calculation (PBE) of a geometry-optimized Th3NiPt structure.

The structure belongs to space group P2_1/m (No. 11); the cell edges are 8.365, 3.814 and 8.368 Å and the angles 90.00°, 109.17° and 90.00°. Symmetry generates all atoms from Th at (0.035, 0.250, 0.179), Th at (0.227, 0.750, 0.553), Th at (0.398, 0.750, 0.157), Ni at (0.406, 0.250, 0.416) and Pt at (0.251, 0.250, 0.860).

The calculation puts the energy above the most stable polymorph in this dataset at 0.000 eV per atom. The density of states at the Fermi level comes out at 5.6 states/eV/f.u. The calculation puts the formation enthalpy at 0 K at -0.617 eV/atom.